# 1
Density functional theory data (PBE) for a relaxed structure of TcAg2Hg.

ΔH_f (0 K), meV per atom: 563
Crystal system: tetragonal
D(E_F), states/eV/cell: 1.5
Calculated total energy, eV/atom: -3.53

a b c (Å): 4.876 4.876 4.876
angles (deg): 126.27 126.27 79.44
Sites, in units of the cell vectors:
Tc 0.000 0.000 0.000
Ag 0.250 0.750 0.500
Ag 0.500 0.500 0.000
Hg 0.750 0.250 0.500



# 2
Density functional theory data (PBE) for a relaxed structure of TbAgSn.

ΔH_f (0 K), meV per atom: -153
Crystal system: hexagonal
D(E_F), states/eV/cell: 2.2
Calculated total energy, eV/atom: -3.98

a b c (Å): 5.055 5.055 3.389
angles (deg): 90.00 90.00 120.00
Sites, in units of the cell vectors:
Tb 0.000 0.000 0.000
Ag 0.667 0.333 0.000
Sn 0.333 0.667 0.500



# 3
Density functional theory data (PBE) for a relaxed structure of InRhNF2.

Crystal system: tetragonal
ΔE to the lowest computed polymorph, meV/atom: 531
E_form (uncorrected), meV per atom: -68
D(E_F), states/eV/cell: 3.1
Calculated total energy, eV/atom: -4.50

a b c (Å): 4.167 4.167 4.368
angles (deg): 90.00 90.00 90.00
Sites, in units of the cell vectors:
In 0.000 0.000 0.000
Rh 0.500 0.500 0.500
N 0.000 0.000 0.500
F 0.000 0.500 0.000
F 0.500 0.000 0.000



# 4
Density functional theory data (PBE) for a relaxed structure of PaTlAgO4.

Crystal system: orthorhombic
E_form (uncorrected), meV per atom: -1823
D(E_F), states/eV/cell: 2.4
Calculated total energy, eV/atom: -6.76

a b c (Å): 7.190 7.190 7.190
angles (deg): 123.61 120.56 86.45
Sites, in units of the cell vectors:
Pa 0.000 0.000 0.000
Pa 0.500 0.000 0.500
Tl 0.500 0.000 0.000
Tl 0.500 0.500 0.500
Ag 0.096 0.346 0.750
Ag 0.904 0.654 0.250
O 0.218 0.207 0.012
O 0.248 0.196 0.448
O 0.248 0.800 0.052
O 0.305 0.793 0.512
O 0.695 0.207 0.488
O 0.752 0.200 0.948
O 0.752 0.804 0.552
O 0.782 0.793 0.988



# 5
Density functional theory data (PBE) for a relaxed structure of Al2V6C.

ΔH_f (0 K), meV per atom: -263
Crystal system: orthorhombic
D(E_F), states/eV/cell: 5.8
Calculated total energy, eV/atom: -8.20

a b c (Å): 5.396 5.396 5.396
angles (deg): 116.35 113.25 99.29
Sites, in units of the cell vectors:
Al 0.236 0.236 0.000
Al 0.764 0.764 0.000
V 0.216 0.716 0.500
V 0.257 0.258 0.514
V 0.257 0.742 0.999
V 0.743 0.258 0.001
V 0.743 0.742 0.486
V 0.784 0.284 0.500
C 0.500 0.000 0.500



# 6
Density functional theory data (PBE) for a relaxed structure of GdThTlRu.

ΔH_f (0 K), meV per atom: -128
Crystal system: cubic
D(E_F), states/eV/cell: 4.1
Calculated total energy, eV/atom: -8.41

a b c (Å): 5.215 5.215 5.215
angles (deg): 60.00 60.00 60.00
Sites, in units of the cell vectors:
Gd 0.000 0.000 0.000
Th 0.500 0.500 0.500
Tl 0.250 0.250 0.250
Ru 0.750 0.750 0.750